No. 1
## YMgSc2 (GGA-PBE)

Data for an optimized crystal structure of YMgSc2.

Space-group type   I4/mmm
Density of states at the Fermi level   7.36 states/eV/cell
Final energy   -20.423 eV/cell
Size of the total moment   1.48 μB/cell

Cell lengths 5.7715, 5.7715, 5.7715 Å; angles 131.84, 131.84, 70.48 degrees
Last column: magnetic moment on the atom in μB.
Element x y z (fractional)
Sc (0.5000, 0.5000, 0.0000)  0.31
Sc (0.0000, 0.0000, 0.0000)  0.31
Mg (0.7500, 0.2500, 0.5000)  0.00
Y (0.2500, 0.7500, 0.5000)  0.24

No. 2
## Y2MgSc (GGA-PBE)

Data for an optimized crystal structure of Y2MgSc.

Space-group type   I-42d
Density of states at the Fermi level   10.61 states/eV/cell
Final energy   -38.916 eV/cell
Size of the total moment   0.00 μB/cell

Cell lengths 8.4622, 8.4622, 6.7990 Å; angles 51.52, 51.52, 90.00 degrees
Element x y z (fractional)
Mg (0.5000, 0.5000, 0.0000)
Mg (0.2500, 0.7500, 0.5000)
Y (0.8750, 0.8548, 0.7500)
Y (0.6048, 0.1250, 0.2500)
Y (0.1452, 0.6250, 0.2500)
Y (0.3750, 0.3952, 0.7500)
Sc (0.0000, 0.0000, 0.0000)
Sc (0.7500, 0.2500, 0.5000)

No. 3
## YMgSc2 (GGA-PBE)

Data for an optimized crystal structure of YMgSc2.

Space-group type   Fmmm
Density of states at the Fermi level   12.02 states/eV/cell
Final energy   -41.506 eV/cell
Size of the total moment   0.00 μB/cell

Cell lengths 4.8107, 4.8107, 9.6379 Å; angles 104.41, 104.41, 90.07 degrees
Element x y z (fractional)
Sc (0.1259, 0.1259, 0.7519)
Sc (0.5000, 0.0000, 0.5000)
Sc (0.0000, 0.5000, 0.5000)
Sc (0.8741, 0.8741, 0.2481)
Mg (0.2500, 0.7500, 0.0000)
Mg (0.7500, 0.2500, 0.0000)
Y (0.6246, 0.6246, 0.7494)
Y (0.3754, 0.3754, 0.2506)

No. 4
## YMg4Sc3 (GGA-PBE)

Data for an optimized crystal structure of YMg4Sc3.

Space-group type   Pmma
Density of states at the Fermi level   21.30 states/eV/cell
Final energy   -64.499 eV/cell
Size of the total moment   0.00 μB/cell

Cell lengths 5.1570, 7.3029, 10.3161 Å; angles 90.00, 90.00, 90.00 degrees
Element x y z (fractional)
Mg (0.9990, 0.2402, 0.7500)
Mg (0.5000, 0.7599, 0.5000)
Mg (0.5000, 0.7599, 0.0000)
Mg (0.0010, 0.2402, 0.2500)
Mg (0.9990, 0.7598, 0.7500)
Mg (0.5000, 0.2401, 0.0000)
Mg (0.5000, 0.2401, 0.5000)
Mg (0.0010, 0.7598, 0.2500)
Sc (0.0000, 0.0000, 0.0000)
Sc (0.4993, 0.0000, 0.7500)
Sc (0.0000, 0.0000, 0.5000)
Sc (0.5007, 0.0000, 0.2500)
Sc (0.5007, 0.5000, 0.2500)
Sc (0.4993, 0.5000, 0.7500)
Y (0.0000, 0.5000, 0.0000)
Y (0.0000, 0.5000, 0.5000)

No. 5
## Y2MgSc (GGA-PBE)

Data for an optimized crystal structure of Y2MgSc.

Space-group type   P4/mmm
Density of states at the Fermi level   6.98 states/eV/cell
Final energy   -20.937 eV/cell
Size of the total moment   0.00 μB/cell

Cell lengths 3.5655, 3.5658, 8.8996 Å; angles 90.00, 90.00, 90.00 degrees
Element x y z (fractional)
Y (0.0000, 0.0000, 0.0000)
Y (0.0000, 0.0000, 0.5000)
Sc (0.5000, 0.5000, 0.7500)
Mg (0.5000, 0.5000, 0.2500)

No. 6
## Y2MgSc4 (GGA-PBE)

Data for an optimized crystal structure of Y2MgSc4.

Space-group type   Cmmm
Density of states at the Fermi level   11.69 states/eV/cell
Final energy   -39.336 eV/cell
Size of the total moment   0.09 μB/cell

Cell lengths 3.3322, 3.3207, 16.9893 Å; angles 90.00, 95.63, 90.00 degrees
Last column: magnetic moment on the atom in μB.
Element x y z (fractional)
Sc (0.9351, 0.5000, 0.8703)  -0.03
Sc (0.6311, 0.0000, 0.2622)  -0.01
Sc (0.0649, 0.5000, 0.1297)  -0.03
Sc (0.3689, 0.0000, 0.7378)  -0.01
Y (0.2037, 0.5000, 0.4073)  0.06
Y (0.7963, 0.5000, 0.5927)  0.06
Mg (0.5000, 0.0000, 0.0000)  0.00